VASP calculation (PBE-GGA) on a geometry-optimized Al2ReAs structure.

The structure in extended XYZ format:
```
4
Lattice="-0.560 -4.604 0.905 1.620 -3.450 2.793 -3.092 0.410 3.318" Properties=species:S:1:pos:R:3 pbc="T T T"
Re -0.492 -1.879 1.717
As -0.924 -4.004 3.514
Al 0.989 -7.958 3.722
Al -1.558 -5.678 5.269
```

Calculated values
Total DFT energy (no corrections): -6.16 eV per atom
Total magnetic moment: 0.00 μB per atom
Calculated volume: 63 Å³ per cell

VASP calculation (PBE-GGA) on a geometry-optimized PrEr3Ni structure.

The structure in extended XYZ format:
```
10
Lattice="-4.702 3.326 -1.219 -0.335 -2.971 -6.813 -3.700 -3.168 5.626" Properties=species:S:1:pos:R:3 pbc="T T T"
Pr -4.983 -0.543 -3.581
Pr -3.754 -2.270 1.175
Er -6.792 -2.040 -0.693
Er -3.849 -3.669 -2.273
Er -1.945 -0.772 -1.713
Er -4.888 0.856 -0.133
Er -2.103 -2.174 -4.928
Er -6.634 -0.639 2.522
Ni 0.000 0.000 0.000
Ni -2.351 1.663 -0.609
```

Calculated values
Total DFT energy (no corrections): -4.97 eV per atom
Total magnetic moment: 0.00 μB per atom
Calculated volume: 282 Å³ per cell

VASP calculation (PBE-GGA) on a geometry-optimized SrHgPb2 structure.

The structure in extended XYZ format:
```
8
Lattice="-4.714 -2.210 -0.511 1.329 -3.646 3.508 -1.455 8.118 5.086" Properties=species:S:1:pos:R:3 pbc="T T T"
Sr -0.846 1.396 1.771
Sr -3.993 0.866 6.313
Hg -0.909 0.772 5.047
Hg -3.931 1.490 3.037
Pb 0.664 -1.823 1.754
Pb -2.357 -1.105 -0.256
Pb -2.317 3.821 4.848
Pb -2.522 -1.559 3.235
```

Calculated values
Total DFT energy (no corrections): -2.72 eV per atom
Total magnetic moment: 0.00 μB per atom
Calculated volume: 245 Å³ per cell

VASP calculation (PBE-GGA) on a geometry-optimized Zn2TeP structure.

The structure in extended XYZ format:
```
4
Lattice="3.823 0.000 0.000 0.000 3.816 0.000 0.000 0.000 5.618" Properties=species:S:1:pos:R:3 pbc="T T T"
Zn 0.000 0.000 0.000
Zn 0.000 1.908 2.809
Te 1.912 0.000 2.809
P 1.912 1.908 0.000
```

Calculated values
Total magnetic moment: 0.00 μB per atom
Raw formation energy: 0.34 eV/atom
Calculated volume: 82 Å³ per cell

VASP calculation (PBE-GGA) on a geometry-optimized LiCu2Se2 structure.

The structure in extended XYZ format:
```
10
Lattice="-5.964 1.986 3.323 3.072 -1.288 6.282 1.105 3.142 0.104" Properties=species:S:1:pos:R:3 pbc="T T T"
Cu 1.723 1.015 4.405
Cu -0.498 1.689 7.622
Cu -3.510 2.825 5.304
Cu -1.289 2.151 2.087
Se 0.606 -0.420 6.229
Se -2.815 0.757 6.992
Se -3.498 1.118 3.377
Se -0.077 -0.060 2.613
Li 0.000 0.000 0.000
Li -1.446 0.349 4.803
```

Calculated values
Total magnetic moment: 0.00 μB per atom
Raw formation energy: -0.23 eV/atom
Calculated volume: 168 Å³ per cell

VASP calculation (PBE-GGA) on a geometry-optimized CaAsBr structure.

The structure in extended XYZ format:
```
3
Lattice="-2.699 1.541 -2.065 1.494 -3.264 -1.017 -5.592 -3.924 4.378" Properties=species:S:1:pos:R:3 pbc="T T T"
As -5.202 -3.650 4.073
Ca -3.518 -4.199 1.464
Br -3.668 -1.722 0.138
```

Calculated values
Total magnetic moment: 0.00 μB per atom
Raw formation energy: -0.76 eV/atom
Calculated volume: 98 Å³ per cell